Density functional theory data (PBE) for a geometry-optimized LaS14I structure.

- Formation energy (no corrections): -3.24 eV per formula unit
- Size of the total moment: 0.000 μB/f.u.
- Total energy: -4.22 eV/atom

Lattice parameters (Å, degrees): 12.5246 12.5246 8.2901 107.09 107.09 72.88
Last column: nearest neighbours and their distance in Å.
Fractional positions:
La (0.0000, 0.0000, 0.0000)  10 S 2.95-3.14
La (0.0000, 0.0000, 0.5000)  10 S 2.95-3.14
S (0.0141, 0.2255, 0.4626)  1 S 2.06
S (0.0255, 0.1746, 0.8278)  1 S 2.08
S (0.1053, 0.7453, 0.3495)  1 S 2.08
S (0.1150, 0.7789, 0.7587)  2 S 2.06-2.20
S (0.1746, 0.0255, 0.3278)  1 S 2.08
S (0.2211, 0.8850, 0.7413)  2 S 2.06-2.20
S (0.2255, 0.0141, 0.9626)  1 S 2.06
S (0.2439, 0.3761, 0.4035)  2 S 2.07-2.08
S (0.2450, 0.3696, 0.8022)  2 S 2.08
S (0.2547, 0.8947, 0.1505)  1 S 2.08
S (0.3051, 0.4438, 0.6632)  2 S 2.07-2.08
S (0.3696, 0.2450, 0.3022)  2 S 2.08
S (0.3761, 0.2439, 0.9035)  2 S 2.07-2.08
S (0.4438, 0.3051, 0.1632)  2 S 2.07-2.08
S (0.5562, 0.6949, 0.8368)  2 S 2.07-2.08
S (0.6239, 0.7561, 0.0965)  2 S 2.07-2.08
S (0.6304, 0.7550, 0.6978)  2 S 2.08
S (0.6949, 0.5562, 0.3368)  2 S 2.07-2.08
S (0.7453, 0.1053, 0.8495)  1 S 2.08
S (0.7550, 0.6304, 0.1978)  2 S 2.08
S (0.7561, 0.6239, 0.5965)  2 S 2.07-2.08
S (0.7745, 0.9859, 0.0374)  1 S 2.06
S (0.7789, 0.1150, 0.2587)  2 S 2.06-2.20
S (0.8254, 0.9745, 0.6722)  1 S 2.08
S (0.8850, 0.2211, 0.2413)  2 S 2.06-2.20
S (0.8947, 0.2547, 0.6505)  1 S 2.08
S (0.9745, 0.8254, 0.1722)  1 S 2.08
S (0.9859, 0.7745, 0.5374)  1 S 2.06
I (0.3185, 0.6815, 0.2500)  2 S 2.85
I (0.6815, 0.3185, 0.7500)  2 S 2.85